Entry 1:
{"formula": "NaYbF4", "functional": "PBE-GGA", "state": "relaxed", "n_ef_per_ev_fu": 9.5, "magmom_total_mub_per_fu": 1.012, "formation_energy_uncorrected_ev_per_atom": -3.261, "rho_g_cm3": 5.58, "lattice_angstrom": [[3.823, 0.000, 0.000], [0.000, 3.823, 0.000], [0.000, 0.000, 5.539]], "species": ["Na", "Yb", "F", "F", "F", "F"], "frac_coords": [[0.000, 0.000, 0.000], [0.500, 0.500, 0.500], [0.000, 0.500, 0.269], [0.000, 0.500, 0.731], [0.500, 0.000, 0.269], [0.500, 0.000, 0.731]]}

Entry 2:
{"formula": "PbClF2", "functional": "PBE-GGA", "state": "relaxed", "e_above_lowest_polymorph_mev_per_atom": 1036, "n_ef_per_ev_fu": 3.9, "magmom_total_mub_per_fu": 1.157, "formation_energy_uncorrected_ev_per_atom": -0.560, "rho_g_cm3": 4.92, "lattice_angstrom": [[1.722, 0.994, 9.219], [-1.722, 0.994, 9.219], [0.000, -1.989, 9.219]], "species": ["Pb", "Cl", "F", "F"], "frac_coords": [[0.000, 0.000, 0.000], [0.500, 0.500, 0.500], [0.077, 0.077, 0.077], [0.923, 0.923, 0.923]]}

Entry 3:
{"formula": "Dy4InRh2Au", "functional": "PBE-GGA", "state": "relaxed", "ef_ev_per_fu": -5.6, "n_ef_per_ev_fu": 5.9, "magmom_total_mub_per_fu": 0.000, "rho_g_cm3": 10.77, "lattice_angstrom": [[2.512, 1.450, 8.230], [-2.512, 1.450, 8.230], [0.000, -2.901, 8.230]], "species": ["Dy", "Dy", "Dy", "Dy", "In", "Rh", "Rh", "Au"], "frac_coords": [[0.121, 0.121, 0.121], [0.372, 0.372, 0.372], [0.628, 0.628, 0.628], [0.879, 0.879, 0.879], [0.500, 0.500, 0.500], [0.245, 0.245, 0.245], [0.755, 0.755, 0.755], [0.000, 0.000, 0.000]]}

Entry 4:
{"formula": "Pr2MgSiPt6", "functional": "PBE-GGA", "state": "relaxed", "n_ef_per_ev_fu": 4.1, "magmom_total_mub_per_fu": 0.000, "formation_energy_uncorrected_ev_per_atom": -0.906, "rho_g_cm3": 12.18, "lattice_angstrom": [[5.602, 0.000, 0.000], [0.000, 8.747, 0.000], [0.000, 0.000, 8.376]], "species": ["Pr", "Pr", "Pr", "Pr", "Mg", "Mg", "Si", "Si", "Pt", "Pt", "Pt", "Pt", "Pt", "Pt", "Pt", "Pt", "Pt", "Pt", "Pt", "Pt"], "frac_coords": [[0.250, 0.006, 0.228], [0.250, 0.494, 0.228], [0.750, 0.506, 0.772], [0.750, 0.994, 0.772], [0.250, 0.750, 0.782], [0.750, 0.250, 0.218], [0.250, 0.250, 0.731], [0.750, 0.750, 0.269], [0.000, 0.250, 0.959], [0.000, 0.750, 0.041], [0.004, 0.750, 0.508], [0.250, 0.001, 0.603], [0.250, 0.499, 0.603], [0.496, 0.750, 0.508], [0.500, 0.250, 0.959], [0.500, 0.750, 0.041], [0.504, 0.250, 0.492], [0.750, 0.501, 0.397], [0.750, 0.999, 0.397], [0.996, 0.250, 0.492]]}

Entry 5:
{"formula": "RePb3S", "functional": "PBE-GGA", "state": "relaxed", "e_above_lowest_polymorph_mev_per_atom": 0, "n_ef_per_ev_fu": 6.2, "magmom_total_mub_per_fu": 0.000, "formation_energy_uncorrected_ev_per_atom": 0.516, "rho_g_cm3": 9.41, "lattice_angstrom": [[5.292, 0.000, 0.000], [0.000, 5.292, 0.000], [0.000, 0.000, 5.292]], "species": ["Re", "Pb", "Pb", "Pb", "S"], "frac_coords": [[0.000, 0.000, 0.000], [0.000, 0.000, 0.500], [0.000, 0.500, 0.000], [0.500, 0.000, 0.000], [0.500, 0.500, 0.500]]}

Entry 6:
{"formula": "SrNi2Os", "functional": "PBE-GGA", "state": "relaxed", "e_above_lowest_polymorph_mev_per_atom": 849, "ef_ev_per_fu": 3.8, "n_ef_per_ev_fu": 1.9, "magmom_total_mub_per_fu": 2.158, "rho_g_cm3": 9.89, "lattice_angstrom": [[0.000, 3.214, 3.214], [3.214, 0.000, 3.214], [3.214, 3.214, 0.000]], "species": ["Sr", "Ni", "Ni", "Os"], "frac_coords": [[0.000, 0.000, 0.000], [0.250, 0.250, 0.250], [0.500, 0.500, 0.500], [0.750, 0.750, 0.750]]}

Entry 7:
{"formula": "K2Na3Tl2", "functional": "PBE-GGA", "state": "relaxed", "e_above_lowest_polymorph_mev_per_atom": 28, "ef_ev_per_fu": -0.3, "n_ef_per_ev_fu": 4.0, "magmom_total_mub_per_fu": 0.000, "rho_g_cm3": 3.52, "lattice_angstrom": [[6.310, 0.000, 0.000], [-0.238, 6.320, 0.000], [-1.245, -2.880, 6.585]], "species": ["K", "K", "Na", "Na", "Na", "Tl", "Tl"], "frac_coords": [[0.198, 0.396, 0.306], [0.802, 0.604, 0.694], [0.340, 0.741, 0.981], [0.500, 0.000, 0.500], [0.660, 0.259, 0.019], [0.100, 0.132, 0.738], [0.900, 0.868, 0.262]]}

Entry 8:
{"formula": "Cs2AcU2O7", "functional": "PBE-GGA", "state": "relaxed", "n_ef_per_ev_fu": 7.7, "magmom_total_mub_per_fu": 3.000, "formation_energy_uncorrected_ev_per_atom": -2.862, "rho_g_cm3": 7.61, "lattice_angstrom": [[-2.206, 2.206, 12.120], [2.206, -2.206, 12.120], [2.206, 2.206, -12.120]], "species": ["Cs", "Cs", "Ac", "U", "U", "O", "O", "O", "O", "O", "O", "O"], "frac_coords": [[0.195, 0.195, 0.000], [0.805, 0.805, 0.000], [0.000, 0.000, 0.000], [0.410, 0.410, 0.000], [0.590, 0.590, 0.000], [0.072, 0.572, 0.500], [0.326, 0.326, 0.000], [0.428, 0.928, 0.500], [0.500, 0.500, 0.000], [0.572, 0.072, 0.500], [0.674, 0.674, 0.000], [0.928, 0.428, 0.500]]}

Entry 9:
{"formula": "La2MgBi", "functional": "PBE-GGA", "state": "relaxed", "e_above_lowest_polymorph_mev_per_atom": 101, "ef_ev_per_fu": -1.7, "n_ef_per_ev_fu": 4.5, "magmom_total_mub_per_fu": 0.000, "rho_g_cm3": 6.67, "lattice_angstrom": [[0.000, 3.992, 3.992], [3.992, 0.000, 3.992], [3.992, 3.992, 0.000]], "species": ["La", "La", "Mg", "Bi"], "frac_coords": [[0.250, 0.250, 0.250], [0.750, 0.750, 0.750], [0.000, 0.000, 0.000], [0.500, 0.500, 0.500]]}

Entry 10:
{"formula": "LaMg2Cd4", "functional": "PBE-GGA", "state": "relaxed", "ef_ev_per_fu": -1.7, "n_ef_per_ev_fu": 2.2, "magmom_total_mub_per_fu": 0.000, "rho_g_cm3": 6.34, "lattice_angstrom": [[-3.783, 3.783, 2.917], [3.783, -3.783, 2.917], [3.783, 3.783, -2.917]], "species": ["La", "Mg", "Mg", "Cd", "Cd", "Cd", "Cd"], "frac_coords": [[0.000, 0.000, 0.000], [0.250, 0.750, 0.500], [0.750, 0.250, 0.500], [0.305, 0.305, 0.610], [0.305, 0.695, 0.000], [0.695, 0.305, 0.000], [0.695, 0.695, 0.390]]}

Entry 11:
{"formula": "Tl3SnSe2", "functional": "PBE-GGA", "state": "relaxed", "n_ef_per_ev_fu": 1.7, "magmom_total_mub_per_fu": 0.000, "formation_energy_uncorrected_ev_per_atom": -0.274, "rho_g_cm3": 7.59, "lattice_angstrom": [[8.960, -2.039, 0.000], [8.960, 2.039, 0.000], [-5.273, 0.000, 10.659]], "species": ["Tl", "Tl", "Tl", "Tl", "Tl", "Tl", "Sn", "Sn", "Se", "Se", "Se", "Se"], "frac_coords": [[0.052, 0.052, 0.190], [0.197, 0.197, 0.559], [0.310, 0.310, 0.896], [0.690, 0.690, 0.104], [0.803, 0.803, 0.441], [0.948, 0.948, 0.810], [0.393, 0.393, 0.306], [0.607, 0.607, 0.694], [0.136, 0.136, 0.889], [0.440, 0.440, 0.613], [0.560, 0.560, 0.387], [0.864, 0.864, 0.111]]}

Entry 12:
{"formula": "GaPb2F6", "functional": "PBE-GGA", "state": "relaxed", "n_ef_per_ev_fu": 2.7, "magmom_total_mub_per_fu": 0.000, "formation_energy_uncorrected_ev_per_atom": -2.220, "rho_g_cm3": 6.06, "lattice_angstrom": [[5.526, 0.000, 0.000], [0.000, 5.526, 0.000], [0.000, 0.000, 10.739]], "species": ["Ga", "Ga", "Pb", "Pb", "Pb", "Pb", "F", "F", "F", "F", "F", "F", "F", "F", "F", "F", "F", "F"], "frac_coords": [[0.000, 0.000, 0.000], [0.500, 0.500, 0.500], [0.000, 0.000, 0.343], [0.000, 0.000, 0.657], [0.500, 0.500, 0.157], [0.500, 0.500, 0.843], [0.176, 0.176, 0.135], [0.176, 0.176, 0.865], [0.248, 0.752, 0.000], [0.252, 0.252, 0.500], [0.324, 0.676, 0.365], [0.324, 0.676, 0.635], [0.676, 0.324, 0.365], [0.676, 0.324, 0.635], [0.748, 0.748, 0.500], [0.752, 0.248, 0.000], [0.824, 0.824, 0.135], [0.824, 0.824, 0.865]]}

Q: What is the formula in the eighth record?
A: Cs2AcU2O7

Copy entry 6 word for word.
{"formula": "SrNi2Os", "functional": "PBE-GGA", "state": "relaxed", "e_above_lowest_polymorph_mev_per_atom": 849, "ef_ev_per_fu": 3.8, "n_ef_per_ev_fu": 1.9, "magmom_total_mub_per_fu": 2.158, "rho_g_cm3": 9.89, "lattice_angstrom": [[0.000, 3.214, 3.214], [3.214, 0.000, 3.214], [3.214, 3.214, 0.000]], "species": ["Sr", "Ni", "Ni", "Os"], "frac_coords": [[0.000, 0.000, 0.000], [0.250, 0.250, 0.250], [0.500, 0.500, 0.500], [0.750, 0.750, 0.750]]}